Record 1
## Cs2HgBiS4 (PBE-GGA)

Data for Cs2HgBiS4 after structural relaxation.

**ΔE_f (raw)**: -387 kJ/mol of formula units
**Calculated volume**: 30.82 Å³/atom
**SG**: P2/m (10)

a = 7.6967 Å, b = 4.0163 Å, c = 8.4585 Å
α = 90.00°, β = 109.42°, γ = 90.00°
Fractional positions:
1 Cs 0.0000 0.0000 0.0000
2 Cs 0.5000 0.5000 0.0000
3 Hg 0.0000 0.5000 0.5000
4 Bi 0.5000 0.0000 0.5000
5 S 0.2159 0.0000 0.6618
6 S 0.2915 0.5000 0.2948
7 S 0.7085 0.5000 0.7052
8 S 0.7841 0.0000 0.3382



Record 2
## CsScHg2Bi (PBE-GGA)

Data for CsScHg2Bi after structural relaxation.

**DFT formation energy**: -1.12 eV per formula unit
**Calculated volume**: 38.99 Å³/atom
**SG**: P4/mmm (123)

a = 5.8695 Å, b = 5.8695 Å, c = 5.6592 Å
α = 90.00°, β = 90.00°, γ = 90.00°
Fractional positions:
1 Cs 0.0000 0.0000 0.0000
2 Sc 0.5000 0.5000 0.5000
3 Hg 0.0000 0.5000 0.5000
4 Hg 0.5000 0.0000 0.5000
5 Bi 0.5000 0.5000 0.0000



Record 3
## CsHgBiSe3 (PBE-GGA)

Data for CsHgBiSe3 after structural relaxation.

**ΔE_f (raw)**: -348 kJ/mol of formula units
**Calculated volume**: 36.12 Å³/atom
**SG**: P2_1/m (11)

a = 9.7132 Å, b = 4.4014 Å, c = 10.6713 Å
α = 90.00°, β = 108.19°, γ = 90.00°
Fractional positions:
1 Cs 0.2035 0.2500 0.2461
2 Cs 0.7965 0.7500 0.7539
3 Hg 0.0942 0.2500 0.6202
4 Hg 0.9058 0.7500 0.3798
5 Bi 0.3361 0.7500 0.8743
6 Bi 0.6639 0.2500 0.1257
7 Se 0.1298 0.2500 0.8796
8 Se 0.2068 0.7500 0.5358
9 Se 0.4581 0.7500 0.1452
10 Se 0.5419 0.2500 0.8548
11 Se 0.7932 0.2500 0.4642
12 Se 0.8702 0.7500 0.1204



Record 4
## CsHgBi2Se4 (PBE-GGA)

Data for CsHgBi2Se4 after structural relaxation.

**ΔE_f (raw)**: -341 kJ/mol of formula units
**Calculated volume**: 32.85 Å³/atom
**SG**: Cmcm (63)

a = 7.7068 Å, b = 7.7068 Å, c = 15.9992 Å
α = 90.00°, β = 90.00°, γ = 146.42°
Fractional positions:
1 Cs 0.1192 0.8808 0.7500
2 Cs 0.8808 0.1192 0.2500
3 Hg 0.1682 0.8318 0.2500
4 Hg 0.8318 0.1682 0.7500
5 Bi 0.3715 0.6285 0.5561
6 Bi 0.3715 0.6285 0.9439
7 Bi 0.6285 0.3715 0.0561
8 Bi 0.6285 0.3715 0.4439
9 Se 0.0000 0.0000 0.0000
10 Se 0.0000 0.0000 0.5000
11 Se 0.2562 0.7438 0.0977
12 Se 0.2562 0.7438 0.4023
13 Se 0.4349 0.5651 0.7500
14 Se 0.5651 0.4349 0.2500
15 Se 0.7438 0.2562 0.5977
16 Se 0.7438 0.2562 0.9023



Record 5
## Cs2SnHgBi2 (PBE-GGA)

Data for Cs2SnHgBi2 after structural relaxation.

**DFT formation energy**: -1.76 eV per formula unit
**Calculated volume**: 44.17 Å³/atom
**SG**: Ibam (72)

a = 10.1843 Å, b = 10.1843 Å, c = 10.1843 Å
α = 134.39°, β = 66.40°, γ = 134.49°
Fractional positions:
1 Cs 0.1625 0.2297 0.3922
2 Cs 0.3375 0.7297 0.0672
3 Cs 0.6625 0.2703 0.9328
4 Cs 0.8375 0.7703 0.6078
5 Sn 0.2500 0.7500 0.5000
6 Sn 0.7500 0.2500 0.5000
7 Hg 0.2500 0.2500 0.0000
8 Hg 0.7500 0.7500 0.0000
9 Bi 0.0889 0.7376 0.8265
10 Bi 0.4111 0.2376 0.6487
11 Bi 0.5889 0.7624 0.3513
12 Bi 0.9111 0.2624 0.1735



Record 6
## CsSrHg2Bi2 (PBE-GGA)

Data for CsSrHg2Bi2 after structural relaxation.

**DFT formation energy**: -2.76 eV per formula unit
**Calculated volume**: 38.68 Å³/atom
**SG**: P-3m1 (164)

a = 5.2503 Å, b = 5.2503 Å, c = 9.7217 Å
α = 90.00°, β = 90.00°, γ = 120.00°
Fractional positions:
1 Cs 0.0000 0.0000 0.0000
2 Sr 0.0000 0.0000 0.5000
3 Hg 0.3333 0.6667 0.3411
4 Hg 0.6667 0.3333 0.6589
5 Bi 0.3333 0.6667 0.7170
6 Bi 0.6667 0.3333 0.2830



Record 7
## CsSrHgBi (PBE-GGA)

Data for CsSrHgBi after structural relaxation.

**DFT formation energy**: -1.92 eV per formula unit
**Calculated volume**: 39.80 Å³/atom
**SG**: F-43m (216)

a = 8.6037 Å, b = 8.6037 Å, c = 8.6037 Å
α = 90.00°, β = 90.00°, γ = 90.00°
Fractional positions:
1 Cs 0.0000 0.0000 0.0000
2 Cs 0.0000 0.5000 0.5000
3 Cs 0.5000 0.0000 0.5000
4 Cs 0.5000 0.5000 0.0000
5 Sr 0.0000 0.0000 0.5000
6 Sr 0.0000 0.5000 0.0000
7 Sr 0.5000 0.0000 0.0000
8 Sr 0.5000 0.5000 0.5000
9 Hg 0.2500 0.2500 0.7500
10 Hg 0.2500 0.7500 0.2500
11 Hg 0.7500 0.2500 0.2500
12 Hg 0.7500 0.7500 0.7500
13 Bi 0.2500 0.2500 0.2500
14 Bi 0.2500 0.7500 0.7500
15 Bi 0.7500 0.2500 0.7500
16 Bi 0.7500 0.7500 0.2500



Record 8
## CsHg2BiTe (PBE-GGA)

Data for CsHg2BiTe after structural relaxation.

**ΔE_f (raw)**: -130 kJ/mol of formula units
**Calculated volume**: 45.61 Å³/atom
**SG**: P4/mmm (123)

a = 5.9947 Å, b = 5.9947 Å, c = 6.3456 Å
α = 90.00°, β = 90.00°, γ = 90.00°
Fractional positions:
1 Cs 0.0000 0.0000 0.0000
2 Hg 0.0000 0.5000 0.5000
3 Hg 0.5000 0.0000 0.5000
4 Bi 0.5000 0.5000 0.5000
5 Te 0.5000 0.5000 0.0000



Number 1: magnetization 0.001 μB/cell, VASP energy -26.41 eV per cell. Number 2: magnetization 0.100 μB/cell, VASP energy -12.79 eV per cell. Number 3: magnetization 0.000 μB/cell, VASP energy -38.19 eV per cell. Number 4: magnetization 0.000 μB/cell, VASP energy -52.79 eV per cell. Number 5: magnetization 0.000 μB/cell, VASP energy -31.07 eV per cell. Number 6: magnetization 0.000 μB/cell, VASP energy -13.66 eV per cell. Number 7: magnetization 0.000 μB/cell, VASP energy -34.54 eV per cell. Number 8: magnetization 0.000 μB/cell, VASP energy -9.83 eV per cell.